La2Sm5ErSc after structural relaxation, computed with GGA-PBE.

**E_tot**: -4.809 eV/atom
**D(E_F)**: 13.8 states/eV/f.u.
**DFT formation energy**: 0.118 eV per atom

```
18
Lattice="2.7252 -11.0400 0.0000 2.7252 11.0400 0.0000 0.0000 0.0000 10.1088" Properties=species:S:1:pos:R:3 pbc="T T T"
La 2.7252 8.4693 5.0544
La 2.7252 8.4625 9.9854
La 2.7252 -8.4625 4.9310
La 2.7252 -8.4693 0.0000
Sm 2.7252 11.0337 2.4660
Sm 2.7252 -11.0337 7.5204
Sm 2.7252 4.9361 5.6410
Sm 2.7252 4.9287 9.4083
Sm 2.7252 2.8153 2.4668
Sm 2.7252 0.0011 4.9927
Sm 2.7252 -0.0011 10.0471
Sm 2.7252 -2.8153 7.5212
Sm 2.7252 -4.9287 4.3539
Sm 2.7252 -4.9361 0.5866
Er 2.7252 2.2695 7.5205
Er 2.7252 -2.2695 2.4661
Sc 2.7252 6.3116 2.4691
Sc 2.7252 -6.3116 7.5235
```

=====

La6Tb2ErSc after structural relaxation, computed with GGA-PBE.

**E_tot**: -4.784 eV/atom
**D(E_F)**: 18.1 states/eV/f.u.
**DFT formation energy**: 0.188 eV per atom

```
10
Lattice="5.7466 -3.5377 0.0000 5.7466 3.5377 0.0000 -2.6798 0.0000 8.5218" Properties=species:S:1:pos:R:3 pbc="T T T"
La 3.1205 1.5997 1.7571
La 0.3863 0.0000 3.6162
La 5.6930 1.5997 6.7648
La 3.1205 -1.5997 1.7571
La 8.4272 0.0000 4.9057
La 5.6930 -1.5997 6.7648
Tb 2.5722 0.0000 6.9883
Tb 6.2413 0.0000 1.5335
Er 0.0000 0.0000 0.0000
Sc 4.4067 0.0000 4.2609
```